#one
A relaxed CsS2Br crystal, computed with GGA-PBE.

Values from the calculation:
M_tot: 4.00 Bohr magnetons per cell
Symmetry: No. 225

Cell lengths 5.688, 5.688, 5.688 Å; angles 60.00, 60.00, 60.00 degrees
Fractional coordinates of all 4 atoms:
Cs 0.000 0.000 0.000
S 0.250 0.250 0.250
S 0.750 0.750 0.750
Br 0.500 0.500 0.500

#two
A relaxed CsS2Br crystal, computed with GGA-PBE.

Values from the calculation:
M_tot: 0.00 Bohr magnetons per cell
Symmetry: No. 11

Cell lengths 5.214, 5.113, 12.515 Å; angles 90.00, 100.46, 90.00 degrees
Fractional coordinates of all 8 atoms:
Cs 0.185 0.250 0.344
Cs 0.815 0.750 0.656
S 0.440 0.559 0.906
S 0.440 0.941 0.906
S 0.560 0.059 0.094
S 0.560 0.441 0.094
Br 0.307 0.250 0.640
Br 0.693 0.750 0.360

#three
A relaxed CsS2Br crystal, computed with GGA-PBE.

Values from the calculation:
M_tot: 0.00 Bohr magnetons per cell
Symmetry: No. 166

Cell lengths 6.159, 6.159, 6.159 Å; angles 56.81, 56.81, 56.81 degrees
Fractional coordinates of all 4 atoms:
Cs 0.000 0.000 0.000
S 0.342 0.342 0.342
S 0.658 0.658 0.658
Br 0.500 0.500 0.500

Of them, #one has the lowest stability.

#one
A relaxed Cs4SBr2 crystal, computed with GGA-PBE.

Values from the calculation:
M_tot: 0.00 Bohr magnetons per cell
Symmetry: No. 139

Cell lengths 10.546, 10.546, 10.546 Å; angles 143.51, 143.51, 52.56 degrees
Fractional coordinates of all 7 atoms:
Cs 0.000 0.500 0.500
Cs 0.173 0.173 0.000
Cs 0.500 0.000 0.500
Cs 0.827 0.827 0.000
S 0.000 0.000 0.000
Br 0.363 0.363 0.000
Br 0.637 0.637 0.000

#two
A relaxed Cs4SBr2 crystal, computed with GGA-PBE.

Values from the calculation:
M_tot: 0.16 Bohr magnetons per cell
Symmetry: No. 12

Cell lengths 9.063, 9.063, 9.385 Å; angles 114.90, 114.90, 33.27 degrees
Fractional coordinates of all 7 atoms:
Cs 0.113 0.113 0.393
Cs 0.366 0.366 0.988
Cs 0.634 0.634 0.012
Cs 0.887 0.887 0.607
S 0.000 0.000 0.000
Br 0.302 0.302 0.315
Br 0.698 0.698 0.685

Of them, #one has the lowest stability.

#one
A relaxed CsSBr crystal, computed with GGA-PBE.

Values from the calculation:
M_tot: 4.00 Bohr magnetons per cell
Symmetry: No. 14

Cell lengths 11.138, 5.158, 10.335 Å; angles 90.00, 93.84, 90.00 degrees
Fractional coordinates of all 12 atoms:
Cs 0.169 0.248 0.387
Cs 0.169 0.252 0.887
Cs 0.831 0.748 0.113
Cs 0.831 0.752 0.613
S 0.459 0.598 0.562
S 0.459 0.902 0.062
S 0.541 0.098 0.938
S 0.541 0.402 0.438
Br 0.159 0.749 0.137
Br 0.159 0.751 0.637
Br 0.841 0.249 0.363
Br 0.841 0.251 0.863

#two
A relaxed CsSBr crystal, computed with GGA-PBE.

Values from the calculation:
M_tot: 0.00 Bohr magnetons per cell
Symmetry: No. 12

Cell lengths 6.381, 6.381, 9.908 Å; angles 113.38, 113.38, 52.85 degrees
Fractional coordinates of all 6 atoms:
Cs 0.075 0.075 0.257
Cs 0.925 0.925 0.743
S 0.406 0.406 0.974
S 0.594 0.594 0.026
Br 0.210 0.210 0.671
Br 0.790 0.790 0.329

Of them, #two has the lowest stability.

#one
A relaxed Cs2SBr crystal, computed with GGA-PBE.

Values from the calculation:
M_tot: 1.00 Bohr magnetons per cell
Symmetry: No. 225

Cell lengths 6.136, 6.136, 6.136 Å; angles 60.00, 60.00, 60.00 degrees
Fractional coordinates of all 4 atoms:
Cs 0.250 0.250 0.250
Cs 0.750 0.750 0.750
S 0.000 0.000 0.000
Br 0.500 0.500 0.500

#two
A relaxed Cs2SBr crystal, computed with GGA-PBE.

Values from the calculation:
M_tot: 2.00 Bohr magnetons per cell
Symmetry: No. 122

Cell lengths 10.227, 10.227, 10.227 Å; angles 135.10, 135.10, 65.38 degrees
Fractional coordinates of all 8 atoms:
Cs 0.112 0.625 0.987
Cs 0.375 0.362 0.487
Cs 0.638 0.125 0.013
Cs 0.875 0.888 0.513
S 0.000 0.000 0.000
S 0.750 0.250 0.500
Br 0.250 0.750 0.500
Br 0.500 0.500 0.000

Of them, #two has the lowest stability.

#one
A relaxed CsSeSBr2 crystal, computed with GGA-PBE.

Values from the calculation:
M_tot: 0.00 Bohr magnetons per cell
Symmetry: No. 123

Cell lengths 5.766, 5.766, 4.795 Å; angles 90.00, 90.00, 90.00 degrees
Fractional coordinates of all 5 atoms:
Cs 0.000 0.000 0.000
Se 0.500 0.500 0.000
S 0.500 0.500 0.500
Br 0.000 0.500 0.500
Br 0.500 0.000 0.500

#two
A relaxed CsSeSBr2 crystal, computed with GGA-PBE.

Values from the calculation:
M_tot: 4.70 Bohr magnetons per cell
Symmetry: No. 123

Cell lengths 6.633, 6.633, 5.997 Å; angles 90.00, 90.00, 90.00 degrees
Fractional coordinates of all 5 atoms:
Cs 0.000 0.000 0.000
Se 0.000 0.000 0.500
S 0.500 0.500 0.500
Br 0.000 0.500 0.000
Br 0.500 0.000 0.000

Of them, #two has the lowest stability.

#one
A relaxed CsSb3Br crystal, computed with GGA-PBE.

Values from the calculation:
M_tot: 0.00 Bohr magnetons per cell
Symmetry: No. 221

Cell lengths 6.272, 6.272, 6.272 Å; angles 90.00, 90.00, 90.00 degrees
Fractional coordinates of all 5 atoms:
Cs 0.000 0.000 0.000
Sb 0.000 0.000 0.500
Sb 0.000 0.500 0.000
Sb 0.500 0.000 0.000
Br 0.500 0.500 0.500

#two
A relaxed CsSb3Br crystal, computed with GGA-PBE.

Values from the calculation:
M_tot: 0.00 Bohr magnetons per cell
Symmetry: No. 221

Cell lengths 5.812, 5.812, 5.812 Å; angles 90.00, 90.00, 90.00 degrees
Fractional coordinates of all 5 atoms:
Cs 0.000 0.000 0.000
Sb 0.000 0.500 0.500
Sb 0.500 0.000 0.500
Sb 0.500 0.500 0.000
Br 0.500 0.500 0.500

Of them, #one has the lowest stability.

#one
A relaxed Cs3SbBr8 crystal, computed with GGA-PBE.

Values from the calculation:
M_tot: 1.85 Bohr magnetons per cell
Symmetry: No. 139

Cell lengths 10.008, 10.008, 10.008 Å; angles 131.97, 131.97, 70.28 degrees
Fractional coordinates of all 12 atoms:
Cs 0.000 0.000 0.000
Cs 0.250 0.750 0.500
Cs 0.750 0.250 0.500
Sb 0.500 0.500 0.000
Br 0.182 0.182 0.577
Br 0.182 0.605 0.000
Br 0.395 0.395 0.577
Br 0.395 0.818 0.000
Br 0.605 0.182 0.000
Br 0.605 0.605 0.423
Br 0.818 0.395 0.000
Br 0.818 0.818 0.423

#two
A relaxed Cs3SbBr8 crystal, computed with GGA-PBE.

Values from the calculation:
M_tot: 0.37 Bohr magnetons per cell
Symmetry: No. 186

Cell lengths 10.731, 10.731, 10.309 Å; angles 90.00, 90.00, 120.00 degrees
Fractional coordinates of all 24 atoms:
Cs 0.152 0.303 0.000
Cs 0.152 0.848 0.000
Cs 0.303 0.152 0.500
Cs 0.697 0.848 0.000
Cs 0.848 0.152 0.500
Cs 0.848 0.697 0.500
Sb 0.333 0.667 0.473
Sb 0.667 0.333 0.973
Br 0.000 0.000 0.251
Br 0.000 0.000 0.751
Br 0.099 0.550 0.333
Br 0.217 0.435 0.622
Br 0.217 0.783 0.622
Br 0.333 0.667 0.970
Br 0.435 0.217 0.122
Br 0.450 0.550 0.333
Br 0.450 0.901 0.333
Br 0.550 0.099 0.833
Br 0.550 0.450 0.833
Br 0.565 0.783 0.622
Br 0.667 0.333 0.470
Br 0.783 0.217 0.122
Br 0.783 0.565 0.122
Br 0.901 0.450 0.833

Of them, #one has the lowest stability.

#one
A relaxed CsSbBr6 crystal, computed with GGA-PBE.

Values from the calculation:
M_tot: 0.00 Bohr magnetons per cell
Symmetry: No. 12

Cell lengths 7.395, 7.395, 7.419 Å; angles 113.75, 113.75, 90.41 degrees
Fractional coordinates of all 8 atoms:
Cs 0.000 0.000 0.000
Sb 0.500 0.500 0.000
Br 0.198 0.198 0.689
Br 0.285 0.633 0.212
Br 0.367 0.715 0.788
Br 0.633 0.285 0.212
Br 0.715 0.367 0.788
Br 0.802 0.802 0.311

#two
A relaxed CsSbBr6 crystal, computed with GGA-PBE.

Values from the calculation:
M_tot: 0.00 Bohr magnetons per cell
Symmetry: No. 225

Cell lengths 8.851, 8.851, 8.851 Å; angles 60.00, 60.00, 60.00 degrees
Fractional coordinates of all 8 atoms:
Cs 0.000 0.000 0.000
Sb 0.500 0.500 0.500
Br 0.293 0.293 0.707
Br 0.293 0.707 0.293
Br 0.293 0.707 0.707
Br 0.707 0.293 0.293
Br 0.707 0.293 0.707
Br 0.707 0.707 0.293

Of them, #two has the lowest stability.

#one
A relaxed CsSbSe2Br crystal, computed with GGA-PBE.

Values from the calculation:
M_tot: 0.00 Bohr magnetons per cell
Symmetry: No. 123

Cell lengths 5.403, 5.403, 5.922 Å; angles 90.00, 90.00, 90.00 degrees
Fractional coordinates of all 5 atoms:
Cs 0.000 0.000 0.000
Sb 0.500 0.500 0.500
Se 0.000 0.500 0.500
Se 0.500 0.000 0.500
Br 0.500 0.500 0.000

#two
A relaxed CsSbSe2Br crystal, computed with GGA-PBE.

Values from the calculation:
M_tot: 0.00 Bohr magnetons per cell
Symmetry: No. 123

Cell lengths 5.695, 5.695, 6.266 Å; angles 90.00, 90.00, 90.00 degrees
Fractional coordinates of all 5 atoms:
Cs 0.000 0.000 0.000
Sb 0.500 0.500 0.500
Se 0.000 0.500 0.000
Se 0.500 0.000 0.000
Br 0.000 0.000 0.500

Of them, #two has the lowest stability.

#one
A relaxed CsSb2TeBr crystal, computed with GGA-PBE.

Values from the calculation:
M_tot: 3.31 Bohr magnetons per cell
Symmetry: No. 123

Cell lengths 6.773, 6.773, 6.541 Å; angles 90.00, 90.00, 90.00 degrees
Fractional coordinates of all 5 atoms:
Cs 0.000 0.000 0.000
Sb 0.000 0.500 0.000
Sb 0.500 0.000 0.000
Te 0.000 0.000 0.500
Br 0.500 0.500 0.500

#two
A relaxed CsSb2TeBr crystal, computed with GGA-PBE.

Values from the calculation:
M_tot: 1.17 Bohr magnetons per cell
Symmetry: No. 123

Cell lengths 5.733, 5.733, 6.144 Å; angles 90.00, 90.00, 90.00 degrees
Fractional coordinates of all 5 atoms:
Cs 0.000 0.000 0.000
Sb 0.000 0.500 0.500
Sb 0.500 0.000 0.500
Te 0.500 0.500 0.000
Br 0.500 0.500 0.500

Of them, #one has the lowest stability.

#one
A relaxed Cs4SeBr2 crystal, computed with GGA-PBE.

Values from the calculation:
M_tot: 0.12 Bohr magnetons per cell
Symmetry: No. 12

Cell lengths 9.496, 9.496, 9.197 Å; angles 114.42, 114.42, 32.43 degrees
Fractional coordinates of all 7 atoms:
Cs 0.121 0.121 0.411
Cs 0.367 0.367 0.991
Cs 0.633 0.633 0.009
Cs 0.879 0.879 0.589
Se 0.000 0.000 0.000
Br 0.292 0.292 0.306
Br 0.708 0.708 0.694

#two
A relaxed Cs4SeBr2 crystal, computed with GGA-PBE.

Values from the calculation:
M_tot: 0.00 Bohr magnetons per cell
Symmetry: No. 139

Cell lengths 10.666, 10.666, 10.666 Å; angles 142.77, 142.77, 53.68 degrees
Fractional coordinates of all 7 atoms:
Cs 0.000 0.500 0.500
Cs 0.178 0.178 0.000
Cs 0.500 0.000 0.500
Cs 0.822 0.822 0.000
Se 0.000 0.000 0.000
Br 0.364 0.364 0.000
Br 0.636 0.636 0.000

Of them, #two has the lowest stability.

#one
A relaxed CsSe2Br2 crystal, computed with GGA-PBE.

Values from the calculation:
M_tot: 2.00 Bohr magnetons per cell
Symmetry: No. 127

Cell lengths 9.259, 9.259, 4.629 Å; angles 90.00, 90.00, 90.00 degrees
Fractional coordinates of all 10 atoms:
Cs 0.000 0.000 0.000
Cs 0.500 0.500 0.000
Se 0.083 0.417 0.000
Se 0.417 0.917 0.000
Se 0.583 0.083 0.000
Se 0.917 0.583 0.000
Br 0.240 0.260 0.500
Br 0.260 0.760 0.500
Br 0.740 0.240 0.500
Br 0.760 0.740 0.500

#two
A relaxed CsSe2Br2 crystal, computed with GGA-PBE.

Values from the calculation:
M_tot: 0.00 Bohr magnetons per cell
Symmetry: No. 15

Cell lengths 6.614, 6.614, 12.044 Å; angles 114.17, 114.17, 58.20 degrees
Fractional coordinates of all 10 atoms:
Cs 0.249 0.751 0.750
Cs 0.751 0.249 0.250
Se 0.081 0.582 0.975
Se 0.418 0.919 0.525
Se 0.582 0.081 0.475
Se 0.919 0.418 0.025
Br 0.155 0.654 0.387
Br 0.346 0.845 0.113
Br 0.654 0.155 0.887
Br 0.845 0.346 0.613

Of them, #one has the lowest stability.